This record from Alexandria describes Y2Pu2Ni15 after structural relaxation. The functional is PBE-GGA.

SG ... No. 166
Formation energy from the elements ... -0.18 eV per atom
Theoretical density ... 9.91 g/cm³

a b c (Å): 6.4320 6.4320 6.4320
angles (deg): 82.03 82.03 82.03
Closest atoms and distances in Å follow each position.
Sites, in units of the cell vectors:
Y: 0.1449 0.1449 0.1449  12 Ni 2.89-3.08
Y: 0.8551 0.8551 0.8551  12 Ni 2.89-3.08
Pu: 0.4107 0.4107 0.4107  1 Pu 2.25
Pu: 0.5893 0.5893 0.5893  1 Pu 2.25
Ni: 0.0000 0.5000 0.5000  8 Ni 2.45-2.49, 2 Pu 2.62
Ni: 0.1575 0.1575 0.6626  8 Ni 2.42-2.57, 1 Pu 2.68
Ni: 0.1575 0.6626 0.1575  8 Ni 2.42-2.57, 1 Pu 2.68
Ni: 0.1821 0.5000 0.8179  8 Ni 2.49-2.68
Ni: 0.1821 0.8179 0.5000  8 Ni 2.49-2.68
Ni: 0.3374 0.8425 0.8425  8 Ni 2.42-2.57, 1 Pu 2.68
Ni: 0.5000 0.0000 0.5000  8 Ni 2.45-2.49, 2 Pu 2.62
Ni: 0.5000 0.1821 0.8179  8 Ni 2.49-2.68
Ni: 0.5000 0.5000 0.0000  8 Ni 2.45-2.49, 2 Pu 2.62
Ni: 0.5000 0.8179 0.1821  8 Ni 2.49-2.68
Ni: 0.6626 0.1575 0.1575  8 Ni 2.42-2.57, 1 Pu 2.68
Ni: 0.8179 0.1821 0.5000  8 Ni 2.49-2.68
Ni: 0.8179 0.5000 0.1821  8 Ni 2.49-2.68
Ni: 0.8425 0.3374 0.8425  8 Ni 2.42-2.57, 1 Pu 2.68
Ni: 0.8425 0.8425 0.3374  8 Ni 2.42-2.57, 1 Pu 2.68